# MgCoMo2

An optimized crystal structure of MgCoMo2 (PBE, the Alexandria database). Values from VASP.

Calculated values
For the formation energy from the elements, the calculation gives 29.2 kJ per mole of atoms.

Quantum ESPRESSO input file:
```
&SYSTEM
  ibrav = 0, nat = 4, ntyp = 3
/
ATOMIC_SPECIES
Mg 24.30 Mg.upf
Co 58.93 Co.upf
Mo 95.94 Mo.upf
CELL_PARAMETERS angstrom
-1.5689 2.2809 4.2245
1.5689 -2.2809 4.2245
1.5689 2.2809 -4.2245
ATOMIC_POSITIONS angstrom
Mg 0.0000 0.0000 0.0000
Co 0.0000 2.2809 2.1170
Mo 1.5689 0.0000 2.3634
Mo 0.0000 0.0000 4.3544
```